No. 1
This record from Alexandria describes crystalline Tb4YCu5 at its relaxed geometry. The functional is GGA-PBE.

```
10
Lattice="-2.1587 1.0489 -2.5026 -2.1781 -2.5770 0.7988 -8.1987 10.4840 11.4665" Properties=species:S:1:pos:R:3 pbc="T T T"
Cu -9.5446 8.6681 9.4642
Cu -6.2678 4.4779 4.8814
Cu -2.9910 0.2878 0.2986
Cu -4.6276 2.3806 2.5874
Cu -7.9080 6.5753 7.1753
Tb -1.6399 2.0970 2.2935
Tb -3.2800 4.1943 4.5874
Tb -4.9187 6.2897 6.8791
Tb -6.5588 8.3870 9.1730
Y 0.0000 0.0000 0.0000
```

Results
- calculated formation energy (eV/atom) = -0.24
- crystal system = tetragonal
- total energy (eV/cell) = -47.90

No. 2
This record from Alexandria describes crystalline TbYCu at its relaxed geometry. The functional is GGA-PBE.

```
3
Lattice="-3.3784 0.5692 0.6707 -0.2988 -3.2460 1.2497 3.3082 3.3845 4.7056" Properties=species:S:1:pos:R:3 pbc="T T T"
Y 0.0827 0.1151 0.3188
Cu -1.3485 -0.6561 2.8496
Tb 0.8968 1.2487 3.4577
```

Results
- calculated formation energy (eV/atom) = -0.13
- crystal system = tetragonal
- energy above the lowest structure with this stoichiometry (eV per atom) = 0.021
- total energy (eV/cell) = -15.57

No. 3
This record from Alexandria describes crystalline TbY2Cu2 at its relaxed geometry. The functional is GGA-PBE.

```
10
Lattice="-2.6083 -1.9495 1.3468 1.8701 -4.1148 -2.3345 8.6367 -1.6197 9.7733" Properties=species:S:1:pos:R:3 pbc="T T T"
Cu -0.1525 -2.2448 1.0632
Cu 5.7544 -2.9038 6.9564
Cu 8.0511 -5.4391 7.7224
Cu 2.1441 -4.7802 1.8291
Tb 5.3626 -5.9251 6.4253
Tb 2.5359 -1.7589 2.3603
Y 5.8145 -4.3574 9.5667
Y 3.1330 -3.4078 5.7450
Y 4.7655 -4.2761 3.0405
Y 2.0840 -3.3266 -0.7812
```

Results
- calculated formation energy (eV/atom) = -0.16
- crystal system = monoclinic
- total energy (eV/cell) = -53.07